No. 1
AlAg2Au | PBE-GGA | relaxed

DOS at the Fermi energy: 1.75 states/eV/cell
Electronic total energy: -3.33 eV/atom
SG: I4/mmm, No. 139
Volume: 17.1 A^3/atom
Energy of formation: -0.145 eV/atom

Cell lengths 3.972, 3.972, 8.685 Å; angles 90.00, 90.00, 90.00 degrees
Element x y z (fractional)
Al: 0.000 0.000 0.000
Al: 0.500 0.500 0.500
Ag: 0.000 0.500 0.250
Ag: 0.000 0.500 0.750
Ag: 0.500 0.000 0.250
Ag: 0.500 0.000 0.750
Au: 0.000 0.000 0.500
Au: 0.500 0.500 0.000


No. 2
AlAgAu2 | PBE-GGA | relaxed

DOS at the Fermi energy: 1.49 states/eV/cell
Electronic total energy: -3.48 eV/atom
SG: Pmm2, No. 25
Volume: 17.3 A^3/atom
E above lowest polymorph: 45 meV per atom
Energy of formation: -0.192 eV/atom

Cell lengths 3.167, 4.577, 4.769 Å; angles 90.00, 90.00, 90.00 degrees
Element x y z (fractional)
Al: 0.000 0.000 0.000
Ag: 0.000 0.500 0.391
Au: 0.500 0.000 0.516
Au: 0.500 0.500 0.903


No. 3
AlAgAu | PBE-GGA | relaxed

DOS at the Fermi energy: 3.51 states/eV/cell
Electronic total energy: -3.42 eV/atom
SG: Cm, No. 8
Volume: 18.6 A^3/atom
E above lowest polymorph: 94 meV per atom
Energy of formation: -0.128 eV/atom

Cell lengths 7.955, 4.325, 6.673 Å; angles 90.00, 102.99, 90.00 degrees
Element x y z (fractional)
Al: 0.000 0.000 0.000
Al: 0.100 0.500 0.683
Al: 0.500 0.500 0.000
Al: 0.600 0.000 0.683
Ag: 0.104 0.000 0.434
Ag: 0.402 0.000 0.287
Ag: 0.604 0.500 0.434
Ag: 0.902 0.500 0.287
Au: 0.192 0.500 0.096
Au: 0.313 0.000 0.824
Au: 0.692 0.000 0.096
Au: 0.813 0.500 0.824


Number 3 is which compound?
AlAgAu